(1)
Hg2TeMo | PBE-GGA | relaxed

Structure (extended XYZ):
```
8
Lattice="10.7558 0.0000 0.0000 0.0000 10.7558 0.0000 5.3779 5.3779 2.5623" Properties=species:S:1:pos:R:3 pbc="T T T"
Mo 5.3779 5.3779 0.0000
Mo 5.3779 10.7558 1.2812
Hg 8.0668 10.7542 1.9217
Hg 5.3794 2.6889 0.6406
Hg 5.3764 8.0668 0.6406
Hg 13.4447 10.7573 1.9217
Te 10.7558 5.3779 1.2812
Te 0.0000 0.0000 0.0000
```

Properties
The value obtained for the total magnetization is 0.0 Bohr magnetons per cell. As for the crystal system: tetragonal. Its energy is -3.12 eV per atom. Its uncorrected formation energy is 0.53 eV per atom.


(2)
FeCo2 | PBE-GGA | relaxed

Structure (extended XYZ):
```
6
Lattice="-4.1748 1.8059 1.1365 -3.8829 -0.6137 2.5551 8.6497 1.7236 1.1599" Properties=species:S:1:pos:R:3 pbc="T T T"
Co 5.6013 1.5157 1.4327
Co 0.0282 1.3190 2.2439
Co 2.8350 1.4276 1.8516
Co -2.7381 1.2309 2.6629
Fe 0.3359 2.7835 4.6784
Fe -5.5304 1.1554 3.1087
```

Properties
The value obtained for the total magnetization is 12.1 Bohr magnetons per cell. As for the crystal system: monoclinic. The calculation puts the calculated formation energy at 11 meV/atom. Its energy is -7.55 eV per atom.


(3)
YTlBi3 | PBE-GGA | relaxed

Structure (extended XYZ):
```
5
Lattice="-4.4189 3.6967 -0.0528 -3.2646 -3.9402 -2.6480 -1.7352 -2.0010 5.1167" Properties=species:S:1:pos:R:3 pbc="T T T"
Y -4.7093 -1.1223 1.2079
Tl 0.0000 0.0000 0.0000
Bi -0.8676 -1.0005 2.5583
Bi -2.2094 1.8484 -0.0264
Bi -1.6323 -1.9701 -1.3240
```

Properties
The value obtained for the total magnetization is 0.0 Bohr magnetons per cell. As for the crystal system: cubic. The calculation puts the calculated formation energy at 566 meV/atom. As for the energy above the most stable polymorph in this dataset: 423 meV/atom. Its energy is -3.53 eV per atom.


(4)
Ac6In2Tc | PBE-GGA | relaxed

Structure (extended XYZ):
```
18
Lattice="7.2573 0.0337 0.0000 -1.6236 9.0573 0.0000 0.0000 0.0000 10.5278" Properties=species:S:1:pos:R:3 pbc="T T T"
Ac -0.3568 7.3754 0.3788
Ac 5.3435 5.1302 7.8805
Ac 1.1384 0.3331 3.8348
Ac 1.5500 6.2274 5.6427
Ac 3.9553 4.8786 1.4291
Ac 3.1071 8.5062 2.6167
Ac 0.2902 3.9608 2.6472
Ac 1.6784 4.2124 9.0987
Ac 5.9904 1.7156 10.1489
Ac 4.0837 2.8636 4.8851
Ac 2.5266 0.5847 7.9111
Ac 4.4953 8.7578 6.6929
In 2.5560 1.6611 0.9093
In 3.0777 7.4299 9.6184
In 0.2609 2.8844 6.1732
In 5.3728 6.2066 4.3545
Tc -0.8118 4.5287 0.0000
Tc 3.6286 0.0168 5.2639
```

Properties
The value obtained for the total magnetization is 0.0 Bohr magnetons per cell. As for the crystal system: monoclinic. The calculation puts the calculated formation energy at -102 meV/atom. Its energy is -4.60 eV per atom.


(5)
FeCu2Ge | PBE-GGA | relaxed

Structure (extended XYZ):
```
8
Lattice="3.4954 0.0000 0.0000 0.0000 3.4954 0.0000 1.7477 1.7477 9.0693" Properties=species:S:1:pos:R:3 pbc="T T T"
Cu 4.3693 4.3627 6.8020
Cu 0.8805 2.6216 2.2673
Cu 2.6216 2.6282 6.8020
Cu 2.6149 0.8739 2.2673
Fe 1.7477 1.7477 0.0000
Fe 1.7477 3.4954 4.5347
Ge 0.0000 0.0000 0.0000
Ge 3.4954 1.7477 4.5347
```

Properties
The value obtained for the total magnetization is 4.5 Bohr magnetons per cell. As for the crystal system: tetragonal. The calculation puts the calculated formation energy at 297 meV/atom. Its energy is -5.02 eV per atom.


Number 1: volume 296.4 Å³/cell. Number 2: volume 67.8 Å³/cell. Number 3: volume 191.3 Å³/cell. Number 4: volume 692.6 Å³/cell. Number 5: volume 110.8 Å³/cell.